Entry from Alexandria: crystalline Sr2MgZnH6 at its relaxed geometry (PBE-GGA).

Summary:
Calculated volume = 12.7 Å³ per atom
M_tot = 0.0 μB/cell
Total DFT energy (no corrections) = -55.94 eV for the cell shown

Unit cell a=7.9851 b=7.9497 c=5.6347 alpha=90.00 beta=134.76 gamma=90.00
Space group C2/m (No. 12)
Symmetry-distinct sites (fractional):
Sr1 0.0000 0.2502 0.0000 (multiplicity 4)
Mg1 0.0000 0.0000 0.5000 (multiplicity 2)
Zn1 0.0000 0.5000 0.5000 (multiplicity 2)
H1 0.0000 0.2540 0.5000 (multiplicity 4)
H2 0.2470 0.5000 0.5028 (multiplicity 4)
H3 0.2470 0.5000 0.9935 (multiplicity 4)